Entry 1:
Entry from Alexandria via LeMat-Bulk: a geometry-optimized Dy5Tm4Tc2 structure (PBE-GGA).

Cell and atoms, written as extended XYZ:
```
11
Lattice="3.593 0.000 0.000 0.000 8.310 0.201 0.000 -0.551 10.304" Properties=species:S:1:pos:R:3 pbc="T T T"
Tc 0.000 0.310 6.774
Tc 0.000 7.449 3.730
Tm 1.797 1.258 4.661
Tm 1.797 6.715 1.671
Tm 1.797 6.501 5.844
Tm 1.797 1.044 8.834
Dy 0.000 4.485 3.626
Dy 0.000 4.155 0.100
Dy 0.000 6.526 8.878
Dy 0.000 1.233 1.627
Dy 0.000 3.274 6.878
```

***

Entry 2:
Entry from Alexandria via LeMat-Bulk: a geometry-optimized Dy3TmTc structure (PBE-GGA).

Properties
ΔE to the lowest computed polymorph ... 43.1 meV/atom

Cell and atoms, written as extended XYZ:
```
10
Lattice="7.222 -0.069 -0.071 -2.043 6.928 0.071 -2.932 -3.171 5.816" Properties=species:S:1:pos:R:3 pbc="T T T"
Tm 2.745 -2.073 4.351
Tm -0.497 5.760 1.465
Dy -1.493 1.128 4.936
Dy -2.906 4.314 4.177
Dy 2.278 1.546 4.106
Dy 5.154 -0.627 1.639
Dy -0.030 2.142 1.710
Dy 3.741 2.560 0.880
Tc 1.875 3.969 2.182
Tc 0.373 -0.282 3.634
```

***

Entry 3:
Entry from Alexandria via LeMat-Bulk: a geometry-optimized DyTm3Tc structure (PBE-GGA).

Properties
ΔE to the lowest computed polymorph ... 165.0 meV/atom

Cell and atoms, written as extended XYZ:
```
5
Lattice="5.316 0.000 0.000 0.000 5.316 0.000 0.000 0.000 5.316" Properties=species:S:1:pos:R:3 pbc="T T T"
Dy 2.658 2.658 2.658
Tm 0.000 2.658 0.000
Tm 2.658 0.000 0.000
Tm 0.000 0.000 2.658
Tc 0.000 0.000 0.000
```

***

Entry 4:
Entry from Alexandria via LeMat-Bulk: a geometry-optimized Dy3TmTc structure (PBE-GGA).

Properties
ΔE to the lowest computed polymorph ... 0.0 meV/atom

Cell and atoms, written as extended XYZ:
```
10
Lattice="3.834 0.000 0.630 1.823 5.974 0.889 0.000 -0.014 11.984" Properties=species:S:1:pos:R:3 pbc="T T T"
Dy 3.460 5.625 2.904
Dy 4.224 4.304 10.238
Dy 0.707 1.057 7.677
Dy 4.004 0.752 11.577
Dy 3.091 0.280 5.152
Dy 2.777 3.723 7.063
Tm 1.325 2.928 3.917
Tm 1.857 3.191 0.679
Tc 2.340 2.316 9.722
Tc 3.520 1.665 2.542
```

***

Entry 5:
Entry from Alexandria via LeMat-Bulk: a geometry-optimized Dy3Tm2Tc2 structure (PBE-GGA).

Cell and atoms, written as extended XYZ:
```
7
Lattice="-3.031 2.216 0.275 -2.091 -5.849 -1.662 2.503 -0.767 7.983" Properties=species:S:1:pos:R:3 pbc="T T T"
Dy -0.863 -4.771 3.201
Dy -1.515 1.108 0.138
Dy -1.756 0.371 3.395
Tc -1.276 0.669 6.296
Tc -1.343 -5.069 0.300
Tm -0.982 -2.077 5.917
Tm -1.637 -2.324 0.679
```

***

Entry 6:
Entry from Alexandria via LeMat-Bulk: a geometry-optimized Dy3Tm3ZnTc2 structure (PBE-GGA).

Cell and atoms, written as extended XYZ:
```
9
Lattice="-3.135 1.683 1.308 -1.323 -6.280 4.911 4.427 6.262 2.550" Properties=species:S:1:pos:R:3 pbc="T T T"
Tc -0.974 -1.258 4.779
Tc 0.943 2.923 3.992
Tm 1.754 2.482 1.011
Tm -0.524 -2.489 1.946
Tm 1.874 -0.011 4.505
Dy -2.518 -3.672 4.184
Dy -0.694 0.837 2.754
Dy 1.613 5.342 2.487
Zn 0.000 0.000 0.000
```

***

Entry 7:
Entry from Alexandria via LeMat-Bulk: a geometry-optimized DyU2Tc2 structure (PBE-GGA).

Cell and atoms, written as extended XYZ:
```
10
Lattice="-4.125 -0.749 -5.863 1.510 -3.726 5.983 -4.481 2.693 2.807" Properties=species:S:1:pos:R:3 pbc="T T T"
Tc -0.410 -2.630 5.005
Tc -2.726 -1.407 0.134
Tc -6.687 0.848 -2.078
Tc -4.370 -0.375 2.793
U -6.780 0.971 0.497
U -0.317 -2.753 2.430
U -4.749 -0.249 -0.775
U -2.347 -1.533 3.702
Dy -2.246 -1.497 7.259
Dy -4.851 -0.285 -4.332
```

***

Entry 8:
Entry from Alexandria via LeMat-Bulk: a geometry-optimized Dy2UTc2 structure (PBE-GGA).

Cell and atoms, written as extended XYZ:
```
10
Lattice="5.703 0.075 0.854 2.571 5.091 0.854 0.021 0.013 7.885" Properties=species:S:1:pos:R:3 pbc="T T T"
Dy 3.279 1.182 1.779
Dy 5.016 3.996 7.813
Dy 2.513 2.433 5.722
Dy 5.782 2.745 3.871
Tc 4.014 5.108 4.917
Tc 1.932 3.809 0.734
Tc 6.363 1.370 8.859
Tc 4.281 0.070 4.676
U 5.324 0.717 6.767
U 2.971 4.462 2.825
```

***

Entry 9:
Entry from Alexandria via LeMat-Bulk: a geometry-optimized DyU2Tc structure (PBE-GGA).

Cell and atoms, written as extended XYZ:
```
4
Lattice="3.181 0.000 0.000 1.590 2.755 0.000 1.590 0.918 10.096" Properties=species:S:1:pos:R:3 pbc="T T T"
Tc 0.000 0.000 0.000
U 4.771 2.755 7.923
U 1.590 0.918 2.173
Dy 3.181 1.836 5.048
```

***

Entry 10:
Entry from Alexandria via LeMat-Bulk: a geometry-optimized Dy3U2Tc4 structure (PBE-GGA).

Cell and atoms, written as extended XYZ:
```
9
Lattice="4.254 0.000 0.000 -2.127 5.312 -1.301 0.000 0.409 8.832" Properties=species:S:1:pos:R:3 pbc="T T T"
U 2.127 2.172 6.407
U 0.000 3.549 1.123
Tc 2.127 2.453 0.261
Tc 0.000 3.268 7.269
Tc 0.000 1.208 5.404
Tc 2.127 4.513 2.127
Dy 2.127 1.485 3.079
Dy 0.000 0.000 0.000
Dy 0.000 4.236 4.452
```

***

DOS(E_F) readings, ordered: 14.35 9.22 7.60 9.90 4.97 8.86 13.10 6.76 10.59 7.68 states/eV per cell
Formation energy readings, ordered: 0.03 -0.03 0.13 -0.07 -0.08 -0.02 0.04 -0.21 0.39 -0.17 eV/atom
Total magnetization readings, ordered: 0.001 0.000 0.001 0.000 0.000 0.000 0.000 0.000 3.097 0.000 μB per formula unit